--- P ---
Here is a relaxed PmTlIr crystal from Alexandria. Energies are from GGA-PBE.

Lattice parameters (Å, degrees): 3.546 3.546 11.176 90.00 90.00 90.00
Space group I4mm (No. 107)
Symmetry-distinct sites (fractional):
Pm (0.000, 0.000, 0.000) (multiplicity 2)
Tl (0.000, 0.000, 0.712) (multiplicity 2)
Ir (0.000, 0.000, 0.356) (multiplicity 2)

Calculated values
Total magnetization   0.00 μB per formula unit
Calculated volume   140.5 Å³/cell


--- Q ---
Here is a relaxed PmTlIr crystal from Alexandria. Energies are from GGA-PBE.

Lattice parameters (Å, degrees): 4.8091 4.8091 3.4519 90.00 90.00 120.00
Space group P-6m2 (No. 187)
Symmetry-distinct sites (fractional):
Pm (0.0000, 0.0000, 0.0000) (multiplicity 1)
Tl (0.6667, 0.3333, 0.5000) (multiplicity 1)
Ir (0.3333, 0.6667, 0.5000) (multiplicity 1)

Calculated values
Total magnetization   0.00 μB per formula unit
Calculated volume   69.1 Å³/cell


Quick one: most stable of them? Q


--- P ---
Here is a relaxed Pm5Tl2Ir crystal from Alexandria. Energies are from GGA-PBE.

Lattice parameters (Å, degrees): 7.960 12.446 4.810 90.00 90.00 90.00
Space group Pbam (No. 55)
Symmetry-distinct sites (fractional):
Pm (0.000, 0.000, 0.000) (multiplicity 2)
Pm (0.138, 0.296, 0.000) (multiplicity 4)
Pm (0.182, 0.572, 0.500) (multiplicity 4)
Tl (0.076, 0.832, 0.500) (multiplicity 4)
Ir (0.000, 0.500, 0.000) (multiplicity 2)

Calculated values
Total magnetization   0.00 μB per formula unit
Calculated volume   476.5 Å³/cell


--- Q ---
Here is a relaxed Pm5Tl2Ir crystal from Alexandria. Energies are from GGA-PBE.

Lattice parameters (Å, degrees): 7.170 7.170 9.053 90.00 90.00 90.00
Space group I4mm (No. 107)
Symmetry-distinct sites (fractional):
Pm (0.000, 0.000, 0.000) (multiplicity 2)
Pm (0.250, 0.250, 0.236) (multiplicity 8)
Tl (0.000, 0.500, 0.484) (multiplicity 4)
Ir (0.000, 0.000, 0.377) (multiplicity 2)

Calculated values
Total magnetization   0.00 μB per formula unit
Calculated volume   465.4 Å³/cell


Quick one: most stable of them? P


--- P ---
Here is a relaxed PmYTlIr crystal from Alexandria. Energies are from GGA-PBE.

Lattice parameters (Å, degrees): 7.311 7.311 7.311 90.00 90.00 90.00
Space group F-43m (No. 216)
Symmetry-distinct sites (fractional):
Pm (0.000, 0.000, 0.000) (multiplicity 4)
Y (0.000, 0.000, 0.500) (multiplicity 4)
Tl (0.250, 0.250, 0.250) (multiplicity 4)
Ir (0.250, 0.250, 0.750) (multiplicity 4)

Calculated values
Total magnetization   0.00 μB per formula unit
Calculated volume   390.8 Å³/cell


--- Q ---
Here is a relaxed PmYTlIr crystal from Alexandria. Energies are from GGA-PBE.

Lattice parameters (Å, degrees): 3.513 3.513 8.129 90.00 90.00 90.00
Space group P4mm (No. 99)
Symmetry-distinct sites (fractional):
Pm (0.000, 0.000, 0.000) (multiplicity 1)
Y (0.000, 0.000, 0.587) (multiplicity 1)
Tl (0.500, 0.500, 0.301) (multiplicity 1)
Ir (0.500, 0.500, 0.784) (multiplicity 1)

Calculated values
Total magnetization   0.00 μB per formula unit
Calculated volume   100.3 Å³/cell


Quick one: most stable of them? Q